Record 1
The following is a PBE-GGA calculation of a relaxed TbNbIr2 crystal, from the Alexandria database.

```
TbNbIr2
1.0
-3.573 0.727 -2.539
0.025 -1.221 -4.272
-2.863 -4.317 -1.094
Ir Tb Nb
2 1 1
Cartesian
-4.654 -3.227 -6.037 Ir
-1.757 -1.584 -1.868 Ir
0.000 0.000 0.000 Tb
-3.205 -2.406 -3.953 Nb
```

Size of the total moment: 0.00 Bohr magnetons per cell
Calculated volume: 19.79 Å³ per atom
Electronic total energy: -8.561 eV/atom
Symmetry: No. 166
Calculated formation energy: -456 meV/atom

=====

Record 2
The following is a PBE-GGA calculation of a relaxed Be4CuPb crystal, from the Alexandria database.

```
Be4CuPb
1.0
4.527 -0.744 1.026
1.484 0.315 4.450
1.275 -3.877 2.333
Pb Be Cu
1 4 1
Cartesian
0.000 0.000 0.000 Pb
3.479 -1.476 5.119 Be
2.758 -1.629 2.955 Be
3.378 -3.515 4.090 Be
4.959 -1.991 3.454 Be
5.465 -3.229 5.857 Cu
```

Size of the total moment: 0.00 Bohr magnetons per cell
Calculated volume: 12.25 Å³ per atom
Electronic total energy: -3.344 eV/atom
Symmetry: No. 216
Calculated formation energy: 441 meV/atom

=====

Record 3
The following is a PBE-GGA calculation of a relaxed Ta2ReRh crystal, from the Alexandria database.

```
Ta2ReRh
1.0
1.653 -2.274 0.000
1.653 2.274 0.000
0.000 0.000 8.640
Rh Ta Re
1 2 1
Cartesian
1.653 0.000 0.000 Rh
0.000 0.000 6.517 Ta
0.000 0.000 2.123 Ta
1.653 0.000 4.320 Re
```

Size of the total moment: 0.00 Bohr magnetons per cell
Calculated volume: 16.24 Å³ per atom
Electronic total energy: -11.142 eV/atom
Symmetry: No. 65
Calculated formation energy: -266 meV/atom

=====

Record 4
The following is a PBE-GGA calculation of a relaxed NaCa2I crystal, from the Alexandria database.

```
NaCa2I
1.0
9.288 0.000 0.000
0.000 9.288 0.000
4.644 4.644 3.856
I Na Ca
2 2 4
Cartesian
9.288 4.644 1.928 I
0.000 0.000 0.000 I
4.644 9.288 1.928 Na
4.644 4.644 0.000 Na
11.609 11.889 2.892 Ca
7.246 2.322 0.964 Ca
2.042 6.966 0.964 Ca
6.966 6.686 2.892 Ca
```

Size of the total moment: 0.00 Bohr magnetons per cell
Calculated volume: 41.58 Å³ per atom
Electronic total energy: -2.010 eV/atom
Distance to the lowest polymorph of the same formula: 74 meV per atom
E_form (uncorrected): -1.168 eV per formula unit
Symmetry: No. 122

=====

Record 5
The following is a PBE-GGA calculation of a relaxed LaTb5Dy3 crystal, from the Alexandria database.

```
LaTb5Dy3
1.0
-1.012 5.692 3.443
-7.103 -8.465 5.331
11.208 2.324 -0.547
Tb Dy La
10 6 2
Cartesian
8.166 0.969 2.355 Tb
2.112 4.459 2.209 Tb
3.329 -2.449 5.082 Tb
-0.237 2.001 3.145 Tb
-2.267 -3.657 5.327 Tb
2.802 -1.540 1.814 Tb
0.290 1.091 6.413 Tb
5.359 3.209 2.900 Tb
-5.074 -1.418 5.872 Tb
8.083 3.557 0.687 Tb
5.604 1.162 -0.273 Dy
2.940 0.923 4.361 Dy
0.000 0.000 0.000 Dy
5.995 -1.555 2.779 Dy
0.152 -1.371 3.866 Dy
-2.903 1.106 5.448 Dy
7.625 6.133 2.245 La
2.570 1.883 0.651 La
```

Size of the total moment: 0.00 Bohr magnetons per cell
Calculated volume: 33.09 Å³ per atom
Electronic total energy: -4.475 eV/atom
Distance to the lowest polymorph of the same formula: 0 meV per atom
Symmetry: No. 15
Calculated formation energy: 179 meV/atom

=====

Record 6
The following is a PBE-GGA calculation of a relaxed Ce6CdHg2 crystal, from the Alexandria database.

```
Ce6CdHg2
1.0
-0.596 2.974 -0.141
-8.510 -1.569 2.896
6.649 1.618 6.037
Cd Ce Hg
1 6 2
Cartesian
6.649 1.618 6.037 Cd
-1.534 1.520 5.864 Ce
4.118 2.562 3.940 Ce
0.698 2.063 7.891 Ce
-6.576 0.461 4.853 Ce
-0.923 1.504 2.929 Ce
-3.156 0.960 0.902 Ce
1.596 0.556 4.990 Hg
-4.053 2.468 3.803 Hg
```

Size of the total moment: 4.29 Bohr magnetons per cell
Calculated volume: 24.33 Å³ per atom
Electronic total energy: -4.250 eV/atom
Symmetry: No. 191
Calculated formation energy: -125 meV/atom

=====

Record 7
The following is a PBE-GGA calculation of a relaxed LaHf2Tl crystal, from the Alexandria database.

```
LaHf2Tl
1.0
-3.696 -2.737 2.323
-4.090 2.391 2.025
-4.626 -0.484 -2.216
Tl Hf La
1 2 1
Cartesian
-6.206 -0.415 1.066 Tl
-9.308 -0.622 1.599 Hf
-3.103 -0.207 0.533 Hf
0.000 0.000 0.000 La
```

Size of the total moment: 0.00 Bohr magnetons per cell
Calculated volume: 24.18 Å³ per atom
Electronic total energy: -6.487 eV/atom
Distance to the lowest polymorph of the same formula: 0 meV per atom
Symmetry: No. 225
Calculated formation energy: 313 meV/atom

=====

Record 8
The following is a PBE-GGA calculation of a relaxed SbTe crystal, from the Alexandria database.

```
SbTe
1.0
3.859 0.000 0.000
0.000 3.859 0.000
0.000 0.000 9.330
Sb Te
2 2
Cartesian
1.929 1.929 2.660 Sb
0.000 0.000 9.002 Sb
0.000 0.000 3.985 Te
1.929 1.929 7.676 Te
```

Size of the total moment: 0.00 Bohr magnetons per cell
Calculated volume: 34.73 Å³ per atom
Electronic total energy: -3.521 eV/atom
Distance to the lowest polymorph of the same formula: 216 meV per atom
E_form (uncorrected): 0.222 eV per formula unit
Symmetry: No. 129

=====

> electronic total energy of number 4 (NaCa2I)?

-2.010 eV/atom